No. 1
This record from the Alexandria database describes a relaxed structure of TlH2O3. The functional is PBE.

Lattice parameters (Å, degrees): 3.542 4.823 8.280 79.05 90.00 90.00
Fractional positions:
1 Tl 0.250 0.971 0.816
2 Tl 0.750 0.029 0.184
3 H 0.250 0.737 0.553
4 H 0.750 0.263 0.447
5 H 0.750 0.393 0.681
6 H 0.250 0.607 0.319
7 O 0.750 0.194 0.665
8 O 0.250 0.806 0.335
9 O 0.750 0.353 0.328
10 O 0.250 0.647 0.672
11 O 0.250 0.222 0.014
12 O 0.750 0.778 0.986

**E**: -4.53 eV/atom
**Space-group type**: P2_1/m, No. 11
**Total moment**: 2.04 μB per cell

No. 2
This record from the Alexandria database describes a relaxed structure of Tl2HO3. The functional is PBE.

Lattice parameters (Å, degrees): 4.476 7.371 6.401 106.57 110.46 90.00
Fractional positions:
1 Tl 0.661 0.581 0.323
2 Tl 0.662 0.081 0.323
3 Tl 0.338 0.919 0.677
4 Tl 0.339 0.419 0.677
5 H 0.776 0.750 0.000
6 H 0.224 0.250 0.000
7 O 0.443 0.250 0.000
8 O 0.557 0.750 0.000
9 O 0.202 0.101 0.402
10 O 0.800 0.399 0.598
11 O 0.200 0.601 0.402
12 O 0.798 0.899 0.598

**E**: -4.48 eV/atom
**Space-group type**: C2/c, No. 15
**Total moment**: 0.00 μB per cell

No. 3
This record from the Alexandria database describes a relaxed structure of TlH4O2. The functional is PBE.

Lattice parameters (Å, degrees): 3.946 5.469 5.469 90.00 90.00 90.00
Fractional positions:
1 Tl 0.500 0.000 0.000
2 Tl 0.000 0.500 0.500
3 H 0.000 0.965 0.427
4 H 0.000 0.035 0.573
5 H 0.500 0.073 0.465
6 H 0.500 0.927 0.535
7 H 0.500 0.535 0.927
8 H 0.500 0.465 0.073
9 H 0.000 0.427 0.965
10 H 0.000 0.573 0.035
11 O 0.000 0.205 0.795
12 O 0.000 0.795 0.205
13 O 0.500 0.705 0.705
14 O 0.500 0.295 0.295

**Space-group type**: P4_2/mnm, No. 136
**Offset from the most stable computed form**: 7.8 meV per atom
**Total moment**: 0.00 μB per cell

No. 4
This record from the Alexandria database describes a relaxed structure of TlHO2. The functional is PBE.

Lattice parameters (Å, degrees): 5.939 4.021 4.178 90.00 107.40 90.00
Fractional positions:
1 H 0.340 0.491 0.786
2 H 0.274 0.991 0.908
3 Tl 0.621 0.865 0.508
4 Tl 0.994 0.365 0.185
5 O 0.291 0.665 0.608
6 O 0.813 0.358 0.601
7 O 0.324 0.165 0.086
8 O 0.801 0.858 0.092

**E**: -4.69 eV/atom
**Space-group type**: P2_1, No. 4
**Total moment**: 0.00 μB per cell

No. 5
This record from the Alexandria database describes a relaxed structure of TlH3O2. The functional is PBE.

Lattice parameters (Å, degrees): 3.775 6.383 5.947 77.61 90.00 90.00
Fractional positions:
1 Tl 0.250 0.775 0.195
2 Tl 0.750 0.225 0.805
3 H 0.750 0.980 0.395
4 H 0.250 0.020 0.605
5 H 0.750 0.833 0.735
6 H 0.250 0.167 0.265
7 H 0.250 0.510 0.200
8 H 0.750 0.490 0.800
9 O 0.250 0.120 0.114
10 O 0.750 0.880 0.886
11 O 0.750 0.823 0.438
12 O 0.250 0.177 0.562

**E**: -4.33 eV/atom
**Space-group type**: P2_1/m, No. 11
**Total moment**: 0.00 μB per cell